No. 1
VASP calculation (PBE-GGA) on crystalline Ta2BeAs at its relaxed geometry.

ΔE to the lowest computed polymorph	0.374	eV per atom
crystal system	monoclinic
energy of formation	0.0291	eV per atom
E_tot	-0.5873	Ry/atom
theoretical density	11.91	g/cm3

Geometry as CIF:
```
data_Ta2BeAs
_symmetry_space_group_name_H-M 'C 1 2/m 1'
_symmetry_Int_Tables_number 12
_cell_length_a 5.7982
_cell_length_b 7.3647
_cell_length_c 3.0097
_cell_angle_alpha 90.00
_cell_angle_beta 104.67
_cell_angle_gamma 90.00
loop_
_symmetry_equiv_pos_as_xyz
'x,y,z'
'-x,-y,-z'
'-x,y,-z'
'x,-y,z'
'x+1/2,y+1/2,z'
'-x+1/2,-y+1/2,-z'
'-x+1/2,y+1/2,-z'
'x+1/2,-y+1/2,z'
loop_
_atom_site_label
_atom_site_type_symbol
_atom_site_fract_x
_atom_site_fract_y
_atom_site_fract_z
_atom_site_occupancy
Ta1 Ta 0.2500 0.2500 0.0000 1
Be1 Be 0.0000 0.0000 0.5000 1
As1 As 0.0000 0.5000 0.5000 1
```

No. 2
VASP calculation (PBE-GGA) on crystalline Ta2BeAs at its relaxed geometry.

ΔE to the lowest computed polymorph	0.420	eV per atom
crystal system	tetragonal
energy of formation	0.0751	eV per atom
E_tot	-0.5840	Ry/atom
theoretical density	12.08	g/cm3

Geometry as CIF:
```
data_Ta2BeAs
_symmetry_space_group_name_H-M 'P 4/m m m'
_symmetry_Int_Tables_number 123
_symmetry_space_group_name_Hall '-P 4 2'
_cell_length_a 3.1149
_cell_length_b 3.1149
_cell_length_c 6.3179
_cell_angle_alpha 90.00
_cell_angle_beta 90.00
_cell_angle_gamma 90.00
loop_
_atom_site_label
_atom_site_type_symbol
_atom_site_fract_x
_atom_site_fract_y
_atom_site_fract_z
_atom_site_occupancy
Ta1 Ta 0.0000 0.0000 0.2495 1
Be1 Be 0.5000 0.5000 0.0000 1
As1 As 0.5000 0.5000 0.5000 1
```

No. 3
VASP calculation (PBE-GGA) on crystalline Ta2BeAs at its relaxed geometry.

ΔE to the lowest computed polymorph	0.297	eV per atom
crystal system	tetragonal
energy of formation	-0.0479	eV per atom
E_tot	-0.5930	Ry/atom
theoretical density	11.69	g/cm3

Geometry as CIF:
```
data_Ta2BeAs
_symmetry_space_group_name_H-M 'P 4 m m'
_symmetry_Int_Tables_number 99
_cell_length_a 3.4254
_cell_length_b 3.4254
_cell_length_c 5.3973
_cell_angle_alpha 90.00
_cell_angle_beta 90.00
_cell_angle_gamma 90.00
loop_
_symmetry_equiv_pos_as_xyz
'x,y,z'
'-y,x,z'
'-x,-y,z'
'y,-x,z'
'-x,y,z'
'y,x,z'
'x,-y,z'
'-y,-x,z'
loop_
_atom_site_label
_atom_site_type_symbol
_atom_site_fract_x
_atom_site_fract_y
_atom_site_fract_z
_atom_site_occupancy
Ta1 Ta 0.0000 0.0000 0.0000 1
Ta2 Ta 0.5000 0.5000 0.2745 1
Be1 Be 0.5000 0.5000 0.8054 1
As1 As 0.0000 0.0000 0.5180 1
```

No. 4
VASP calculation (PBE-GGA) on crystalline Ta4BeAs at its relaxed geometry.

ΔE to the lowest computed polymorph	1.076	eV per atom
crystal system	cubic
energy of formation	0.7692	eV per atom
E_tot	-0.6268	Ry/atom
theoretical density	11.84	g/cm3

Geometry as CIF:
```
data_Ta4BeAs
_symmetry_space_group_name_H-M 'F -4 3 m'
_symmetry_Int_Tables_number 216
_symmetry_space_group_name_Hall 'F -4 2 3'
_cell_length_a 7.6808
_cell_length_b 7.6808
_cell_length_c 7.6808
_cell_angle_alpha 90.00
_cell_angle_beta 90.00
_cell_angle_gamma 90.00
loop_
_atom_site_label
_atom_site_type_symbol
_atom_site_fract_x
_atom_site_fract_y
_atom_site_fract_z
_atom_site_occupancy
Ta1 Ta 0.1236 0.1236 0.3764 1
Be1 Be 0.2500 0.2500 0.7500 1
As1 As 0.0000 0.0000 0.0000 1
```

No. 5
VASP calculation (PBE-GGA) on crystalline Ta2BeAs at its relaxed geometry.

ΔE to the lowest computed polymorph	0.365	eV per atom
crystal system	orthorhombic
energy of formation	0.0201	eV per atom
E_tot	-0.5880	Ry/atom
theoretical density	12.05	g/cm3

Geometry as CIF:
```
data_Ta2BeAs
_symmetry_space_group_name_H-M 'C m m m'
_symmetry_Int_Tables_number 65
_symmetry_space_group_name_Hall '-C 2 2'
_cell_length_a 3.6618
_cell_length_b 4.6265
_cell_length_c 7.2505
_cell_angle_alpha 90.00
_cell_angle_beta 90.00
_cell_angle_gamma 90.00
loop_
_atom_site_label
_atom_site_type_symbol
_atom_site_fract_x
_atom_site_fract_y
_atom_site_fract_z
_atom_site_occupancy
Ta1 Ta 0.0000 0.0000 0.2258 1
Be1 Be 0.0000 0.5000 0.0000 1
As1 As 0.0000 0.5000 0.5000 1
```

No. 6
VASP calculation (PBE-GGA) on crystalline Ta2BeAs at its relaxed geometry.

ΔE to the lowest computed polymorph	0.395	eV per atom
crystal system	orthorhombic
energy of formation	0.0502	eV per atom
E_tot	-0.5858	Ry/atom
theoretical density	12.06	g/cm3

Geometry as CIF:
```
data_Ta2BeAs
_symmetry_space_group_name_H-M 'I m m 2'
_symmetry_Int_Tables_number 44
_cell_length_a 3.3969
_cell_length_b 4.2085
_cell_length_c 8.5914
_cell_angle_alpha 90.00
_cell_angle_beta 90.00
_cell_angle_gamma 90.00
loop_
_symmetry_equiv_pos_as_xyz
'x,y,z'
'-x,-y,z'
'-x,y,z'
'x,-y,z'
'x+1/2,y+1/2,z+1/2'
'-x+1/2,-y+1/2,z+1/2'
'-x+1/2,y+1/2,z+1/2'
'x+1/2,-y+1/2,z+1/2'
loop_
_atom_site_label
_atom_site_type_symbol
_atom_site_fract_x
_atom_site_fract_y
_atom_site_fract_z
_atom_site_occupancy
Ta1 Ta 0.0000 0.0000 0.0000 1
Ta2 Ta 0.0000 0.5000 0.2367 1
Be1 Be 0.0000 0.0000 0.4838 1
As1 As 0.0000 0.5000 0.7592 1
```

No. 7
VASP calculation (PBE-GGA) on crystalline TaBe2As at its relaxed geometry.

crystal system	monoclinic
energy of formation	0.0460	eV per atom
E_tot	-0.4368	Ry/atom
theoretical density	8.47	g/cm3

Geometry as CIF:
```
data_TaBe2As
_symmetry_space_group_name_H-M 'P 1 m 1'
_symmetry_Int_Tables_number 6
_cell_length_a 3.1152
_cell_length_b 3.6319
_cell_length_c 4.7452
_cell_angle_alpha 90.00
_cell_angle_beta 90.02
_cell_angle_gamma 90.00
loop_
_symmetry_equiv_pos_as_xyz
'x,y,z'
'x,-y,z'
loop_
_atom_site_label
_atom_site_type_symbol
_atom_site_fract_x
_atom_site_fract_y
_atom_site_fract_z
_atom_site_occupancy
Ta1 Ta 0.0000 0.0000 0.0000 1
Be1 Be 0.4996 0.5000 0.2358 1
Be2 Be 0.5075 0.0000 0.4663 1
As1 As 0.5004 0.5000 0.7464 1
```

No. 8
VASP calculation (PBE-GGA) on crystalline TaBe2As at its relaxed geometry.

crystal system	tetragonal
energy of formation	0.2595	eV per atom
E_tot	-0.4211	Ry/atom
theoretical density	6.96	g/cm3

Geometry as CIF:
```
data_TaBe2As
_symmetry_space_group_name_H-M 'P 4 m m'
_symmetry_Int_Tables_number 99
_cell_length_a 2.7608
_cell_length_b 2.7608
_cell_length_c 8.5696
_cell_angle_alpha 90.00
_cell_angle_beta 90.00
_cell_angle_gamma 90.00
loop_
_symmetry_equiv_pos_as_xyz
'x,y,z'
'-y,x,z'
'-x,-y,z'
'y,-x,z'
'-x,y,z'
'y,x,z'
'x,-y,z'
'-y,-x,z'
loop_
_atom_site_label
_atom_site_type_symbol
_atom_site_fract_x
_atom_site_fract_y
_atom_site_fract_z
_atom_site_occupancy
Ta1 Ta 0.0000 0.0000 0.0000 1
Be1 Be 0.0000 0.0000 0.6770 1
Be2 Be 0.5000 0.5000 0.7895 1
As1 As 0.5000 0.5000 0.2462 1
```

No. 9
VASP calculation (PBE-GGA) on crystalline TaBe2As at its relaxed geometry.

crystal system	trigonal
energy of formation	0.3951	eV per atom
E_tot	-0.4111	Ry/atom
theoretical density	7.94	g/cm3

Geometry as CIF:
```
data_TaBe2As
_symmetry_space_group_name_H-M 'R -3 m'
_symmetry_Int_Tables_number 166
_symmetry_space_group_name_Hall '-R 3 2"'
_cell_length_a 2.8928
_cell_length_b 2.8928
_cell_length_c 23.7132
_cell_angle_alpha 90.00
_cell_angle_beta 90.00
_cell_angle_gamma 120.00
loop_
_atom_site_label
_atom_site_type_symbol
_atom_site_fract_x
_atom_site_fract_y
_atom_site_fract_z
_atom_site_occupancy
Ta1 Ta 0.0000 0.0000 0.0000 1
Be1 Be 0.0000 0.0000 0.2447 1
As1 As 0.0000 0.0000 0.5000 1
```

No. 10
VASP calculation (PBE-GGA) on crystalline TaBe2As at its relaxed geometry.

crystal system	tetragonal
energy of formation	0.1051	eV per atom
E_tot	-0.4324	Ry/atom
theoretical density	8.97	g/cm3

Geometry as CIF:
```
data_TaBe2As
_symmetry_space_group_name_H-M 'P 4/m m m'
_symmetry_Int_Tables_number 123
_symmetry_space_group_name_Hall '-P 4 2'
_cell_length_a 3.7868
_cell_length_b 3.7868
_cell_length_c 3.5360
_cell_angle_alpha 90.00
_cell_angle_beta 90.00
_cell_angle_gamma 90.00
loop_
_atom_site_label
_atom_site_type_symbol
_atom_site_fract_x
_atom_site_fract_y
_atom_site_fract_z
_atom_site_occupancy
Ta1 Ta 0.0000 0.0000 0.0000 1
Be1 Be 0.0000 0.5000 0.5000 1
As1 As 0.5000 0.5000 0.0000 1
```

No. 11
VASP calculation (PBE-GGA) on crystalline Ta2BeAs at its relaxed geometry.

ΔE to the lowest computed polymorph	0.362	eV per atom
crystal system	monoclinic
energy of formation	0.0175	eV per atom
E_tot	-0.5882	Ry/atom
theoretical density	12.06	g/cm3

Geometry as CIF:
```
data_Ta2BeAs
_symmetry_space_group_name_H-M 'C 1 m 1'
_symmetry_Int_Tables_number 8
_cell_length_a 9.6009
_cell_length_b 2.9344
_cell_length_c 4.5390
_cell_angle_alpha 90.00
_cell_angle_beta 106.16
_cell_angle_gamma 90.00
loop_
_symmetry_equiv_pos_as_xyz
'x,y,z'
'x,-y,z'
'x+1/2,y+1/2,z'
'x+1/2,-y+1/2,z'
loop_
_atom_site_label
_atom_site_type_symbol
_atom_site_fract_x
_atom_site_fract_y
_atom_site_fract_z
_atom_site_occupancy
Ta1 Ta 0.0000 0.0000 0.0000 1
Ta2 Ta 0.2024 0.0000 0.6179 1
Be1 Be 0.4583 0.0000 0.4821 1
As1 As 0.2521 0.5000 0.1524 1
```

No. 12
VASP calculation (PBE-GGA) on crystalline TaBe3As at its relaxed geometry.

ΔE to the lowest computed polymorph	0.527	eV per atom
crystal system	cubic
energy of formation	1.6275	eV per atom
E_tot	-0.2873	Ry/atom
theoretical density	5.17	g/cm3

Geometry as CIF:
```
data_TaBe3As
_symmetry_space_group_name_H-M 'P m -3 m'
_symmetry_Int_Tables_number 221
_symmetry_space_group_name_Hall '-P 4 2 3'
_cell_length_a 4.4969
_cell_length_b 4.4969
_cell_length_c 4.4969
_cell_angle_alpha 90.00
_cell_angle_beta 90.00
_cell_angle_gamma 90.00
loop_
_atom_site_label
_atom_site_type_symbol
_atom_site_fract_x
_atom_site_fract_y
_atom_site_fract_z
_atom_site_occupancy
Ta1 Ta 0.0000 0.0000 0.0000 1
Be1 Be 0.0000 0.0000 0.5000 1
As1 As 0.5000 0.5000 0.5000 1
```

> Which of these has the highest E_tot?

TaBe3As